(1)
# K2CeHgBr6 (PBE, relaxed)
data_K2CeHgBr6
_symmetry_space_group_name_H-M 'R 3'
_symmetry_Int_Tables_number 146
_symmetry_space_group_name_Hall 'R 3'
_cell_length_a 8.2249
_cell_length_b 8.2249
_cell_length_c 22.4624
_cell_angle_alpha 90.00
_cell_angle_beta 90.00
_cell_angle_gamma 120.00
loop_
_atom_site_label
_atom_site_fract_x
_atom_site_fract_y
_atom_site_fract_z
K1 0.0000 0.0000 0.0000
K2 0.0000 0.0000 0.4776
Ce1 0.0000 0.0000 0.6706
Hg1 0.0000 0.0000 0.1788
Br1 0.0012 0.2840 0.7409
Br2 0.0156 0.7356 0.5950
# ΔE_f (raw) = -1.5013 eV/atom

(2)
# KCeHg2Br8 (PBE, relaxed)
data_KCeHg2Br8
_symmetry_space_group_name_H-M 'P -1'
_symmetry_Int_Tables_number 2
_cell_length_a 6.9314
_cell_length_b 8.0721
_cell_length_c 9.7666
_cell_angle_alpha 110.35
_cell_angle_beta 91.50
_cell_angle_gamma 97.03
loop_
_symmetry_equiv_pos_as_xyz
'x,y,z'
'-x,-y,-z'
loop_
_atom_site_label
_atom_site_fract_x
_atom_site_fract_y
_atom_site_fract_z
K1 0.0000 0.0000 0.0000
Ce1 0.0000 0.0000 0.5000
Hg1 0.4330 0.2621 0.8022
Br1 0.1734 0.8034 0.2304
Br2 0.2253 0.8736 0.6842
Br3 0.3159 0.3102 0.5660
Br4 0.4020 0.3011 0.0707
# ΔE_f (raw) = -1.1047 eV/atom

(3)
# CeNdHgBr (PBE, relaxed)
data_CeNdHgBr
_symmetry_space_group_name_H-M 'F -4 3 m'
_symmetry_Int_Tables_number 216
_symmetry_space_group_name_Hall 'F -4 2 3'
_cell_length_a 7.6022
_cell_length_b 7.6022
_cell_length_c 7.6022
_cell_angle_alpha 90.00
_cell_angle_beta 90.00
_cell_angle_gamma 90.00
loop_
_atom_site_label
_atom_site_fract_x
_atom_site_fract_y
_atom_site_fract_z
Ce1 0.0000 0.0000 0.0000
Nd1 0.0000 0.0000 0.5000
Hg1 0.2500 0.2500 0.2500
Br1 0.2500 0.2500 0.7500
# ΔE_f (raw) = -0.5631 eV/atom

(4)
# RbCeHg2Br8 (PBE, relaxed)
data_RbCeHg2Br8
_symmetry_space_group_name_H-M 'P -1'
_symmetry_Int_Tables_number 2
_cell_length_a 6.9395
_cell_length_b 8.1147
_cell_length_c 10.1254
_cell_angle_alpha 112.31
_cell_angle_beta 93.06
_cell_angle_gamma 95.76
loop_
_symmetry_equiv_pos_as_xyz
'x,y,z'
'-x,-y,-z'
loop_
_atom_site_label
_atom_site_fract_x
_atom_site_fract_y
_atom_site_fract_z
Rb1 0.0000 0.0000 0.0000
Ce1 0.0000 0.0000 0.5000
Hg1 0.4370 0.2600 0.7999
Br1 0.1645 0.7945 0.2350
Br2 0.2306 0.8714 0.6752
Br3 0.3159 0.3086 0.5722
Br4 0.4323 0.2949 0.0606
# ΔE_f (raw) = -1.1102 eV/atom

(5)
# CeSn2HgBr8 (PBE, relaxed)
data_CeSn2HgBr8
_symmetry_space_group_name_H-M 'P -1'
_symmetry_Int_Tables_number 2
_cell_length_a 6.9284
_cell_length_b 7.3058
_cell_length_c 9.1251
_cell_angle_alpha 87.07
_cell_angle_beta 87.52
_cell_angle_gamma 88.24
loop_
_symmetry_equiv_pos_as_xyz
'x,y,z'
'-x,-y,-z'
loop_
_atom_site_label
_atom_site_fract_x
_atom_site_fract_y
_atom_site_fract_z
Ce1 0.0000 0.0000 0.0000
Sn1 0.4985 0.4964 0.7398
Hg1 0.0000 0.0000 0.5000
Br1 0.2375 0.8330 0.7769
Br2 0.2407 0.8377 0.2223
Br3 0.2422 0.3156 0.9832
Br4 0.2824 0.3533 0.5279
# ΔE_f (raw) = -0.9881 eV/atom

(6)
# CeHoBr6 (PBE, relaxed)
data_CeHoBr6
_symmetry_space_group_name_H-M 'R -3'
_symmetry_Int_Tables_number 148
_symmetry_space_group_name_Hall '-R 3'
_cell_length_a 7.1795
_cell_length_b 7.1795
_cell_length_c 19.6604
_cell_angle_alpha 90.00
_cell_angle_beta 90.00
_cell_angle_gamma 120.00
loop_
_atom_site_label
_atom_site_fract_x
_atom_site_fract_y
_atom_site_fract_z
Ce1 0.0000 0.0000 0.0000
Ho1 0.0000 0.0000 0.5000
Br1 0.0064 0.6829 0.5814
# ΔE_f (raw) = -1.7934 eV/atom

(7)
# CeHoBr (PBE, relaxed)
data_CeHoBr
_symmetry_space_group_name_H-M 'P 3 m 1'
_symmetry_Int_Tables_number 156
_cell_length_a 3.6391
_cell_length_b 3.6391
_cell_length_c 7.6042
_cell_angle_alpha 90.00
_cell_angle_beta 90.00
_cell_angle_gamma 120.00
loop_
_symmetry_equiv_pos_as_xyz
'x,y,z'
'-y,x-y,z'
'-x+y,-x,z'
'-y,-x,z'
'-x+y,y,z'
'x,x-y,z'
loop_
_atom_site_label
_atom_site_fract_x
_atom_site_fract_y
_atom_site_fract_z
Ce1 0.0000 0.0000 0.0000
Ho1 0.6667 0.3333 0.3681
Br1 0.3333 0.6667 0.6618
# ΔE_f (raw) = -0.6407 eV/atom

(8)
# CeHo2Br6 (PBE, relaxed)
data_CeHo2Br6
_symmetry_space_group_name_H-M 'R 3'
_symmetry_Int_Tables_number 146
_symmetry_space_group_name_Hall 'R 3'
_cell_length_a 7.2818
_cell_length_b 7.2818
_cell_length_c 22.4757
_cell_angle_alpha 90.00
_cell_angle_beta 90.00
_cell_angle_gamma 120.00
loop_
_atom_site_label
_atom_site_fract_x
_atom_site_fract_y
_atom_site_fract_z
Ce1 0.0000 0.0000 0.0000
Ho1 0.0000 0.0000 0.5911
Ho2 0.0000 0.0000 0.7422
Br1 0.0009 0.6283 0.7551
Br2 0.0137 0.3764 0.5740
# ΔE_f (raw) = -1.4080 eV/atom

Number 1: DFT total energy -100.444 eV per cell. Number 2: DFT total energy -34.274 eV per cell. Number 3: DFT total energy -59.716 eV per cell. Number 4: DFT total energy -34.211 eV per cell. Number 5: DFT total energy -39.482 eV per cell. Number 6: DFT total energy -104.688 eV per cell. Number 7: DFT total energy -14.107 eV per cell. Number 8: DFT total energy -113.397 eV per cell.